1.
First-principles (GGA-PBE) data for Pr2TlP3Rh12 after structural relaxation, as listed in Alexandria.

formation energy	-0.16	eV per atom
raw total energy	-119.216	eV per cell

```
Pr2TlP3Rh12
1.0
4.2142 2.4331 5.3377
-4.2142 2.4331 5.3377
0.0000 -4.8662 5.3377
Pr Tl P Rh
2 1 3 12
Direct
0.1007 0.1007 0.1007 Pr
0.8993 0.8993 0.8993 Pr
0.5000 0.5000 0.5000 Tl
0.0000 0.5000 0.5000 P
0.5000 0.0000 0.5000 P
0.5000 0.5000 0.0000 P
0.1183 0.6481 0.6481 Rh
0.1694 0.1694 0.5891 Rh
0.1694 0.5891 0.1694 Rh
0.3519 0.3519 0.8817 Rh
0.3519 0.8817 0.3519 Rh
0.4109 0.8306 0.8306 Rh
0.5891 0.1694 0.1694 Rh
0.6481 0.1183 0.6481 Rh
0.6481 0.6481 0.1183 Rh
0.8306 0.4109 0.8306 Rh
0.8306 0.8306 0.4109 Rh
0.8817 0.3519 0.3519 Rh
```

2.
First-principles (GGA-PBE) data for KFeCuH2 after structural relaxation, as listed in Alexandria.

raw total energy	-13.751	eV per cell

```
KFeCuH2
1.0
3.9305 0.0000 0.0000
0.0000 3.9305 0.0000
0.0000 0.0000 5.8569
K Fe Cu H
1 1 1 2
Direct
0.0000 0.0000 0.0000 K
0.5000 0.5000 0.0000 Fe
0.0000 0.0000 0.5000 Cu
0.0000 0.5000 0.5000 H
0.5000 0.0000 0.5000 H
```

3.
First-principles (GGA-PBE) data for CrCd2Au after structural relaxation, as listed in Alexandria.

formation energy	0.24	eV per atom
raw total energy	-13.766	eV per cell
offset from the most stable computed form	0.140	eV per atom

```
CrCd2Au
1.0
1.5374 0.8876 9.6351
-1.5374 0.8876 9.6351
0.0000 -1.7752 9.6351
Cr Cd Au
1 2 1
Direct
0.0000 0.0000 0.0000 Cr
0.5095 0.5095 0.5095 Cd
0.7475 0.7475 0.7475 Cd
0.2600 0.2600 0.2600 Au
```

4.
First-principles (GGA-PBE) data for Na2SrTl2In after structural relaxation, as listed in Alexandria.

formation energy	-0.20	eV per atom
raw total energy	-25.983	eV per cell

```
Na2SrTl2In
1.0
4.9720 0.0000 0.0000
0.0000 9.3879 0.0000
0.0000 0.0000 8.1642
Na Sr Tl In
4 2 4 2
Direct
0.0000 0.0710 0.0000 Na
0.0000 0.9290 0.5000 Na
0.5000 0.1723 0.3278 Na
0.5000 0.8277 0.8278 Na
0.5000 0.4380 0.9623 Sr
0.5000 0.5620 0.4623 Sr
0.0000 0.3658 0.2545 Tl
0.0000 0.6342 0.7545 Tl
0.5000 0.1405 0.7115 Tl
0.5000 0.8595 0.2115 Tl
0.0000 0.3166 0.6338 In
0.0000 0.6834 0.1338 In
```

5.
First-principles (GGA-PBE) data for Cs2PdPtI6 after structural relaxation, as listed in Alexandria.

uncorrected formation energy	-0.69	eV per atom
raw total energy	-29.120	eV per cell
offset from the most stable computed form	0.000	eV per atom

```
Cs2PdPtI6
1.0
-4.0134 4.0134 5.7028
4.0134 -4.0134 5.7028
4.0134 4.0134 -5.7028
Cs Pd Pt I
2 1 1 6
Direct
0.2500 0.7500 0.5000 Cs
0.7500 0.2500 0.5000 Cs
0.0000 0.0000 0.0000 Pd
0.5000 0.5000 0.0000 Pt
0.2520 0.2520 0.5040 I
0.2520 0.7480 0.0000 I
0.2548 0.2548 0.0000 I
0.7452 0.7452 0.0000 I
0.7480 0.2520 0.0000 I
0.7480 0.7480 0.4960 I
```

6.
First-principles (GGA-PBE) data for UAg2Cl8 after structural relaxation, as listed in Alexandria.

uncorrected formation energy	-0.98	eV per atom
raw total energy	-42.541	eV per cell
offset from the most stable computed form	0.073	eV per atom

```
UAg2Cl8
1.0
7.0012 -3.7676 0.0000
7.0012 3.7676 0.0000
-0.4020 0.0000 6.9254
U Ag Cl
1 2 8
Direct
0.0000 0.0000 0.0000 U
0.2051 0.2051 0.7317 Ag
0.7949 0.7949 0.2683 Ag
0.1107 0.1107 0.2899 Cl
0.1458 0.6580 0.1463 Cl
0.3420 0.8542 0.8537 Cl
0.3552 0.3552 0.6005 Cl
0.6448 0.6448 0.3995 Cl
0.6580 0.1458 0.1463 Cl
0.8542 0.3420 0.8537 Cl
0.8893 0.8893 0.7101 Cl
```